Entry from the Alexandria database: a relaxed structure of ScAg3 (PBEsol).

Lattice parameters (Å, degrees): 5.200 5.200 5.200 90.00 90.00 90.00
Positions (direct):
Sc (0.000, 0.000, 0.000)
Sc (0.500, 0.500, 0.500)
Ag (0.000, 0.250, 0.500)
Ag (0.000, 0.750, 0.500)
Ag (0.250, 0.500, 0.000)
Ag (0.500, 0.000, 0.250)
Ag (0.500, 0.000, 0.750)
Ag (0.750, 0.500, 0.000)

Values from the calculation:
Energy of formation = -0.233 eV per atom

---

Entry from the Alexandria database: a relaxed structure of Ce2YSi2 (PBEsol).

Lattice parameters (Å, degrees): 7.446 7.446 4.233 90.00 90.00 90.00
Positions (direct):
Ce (0.178, 0.322, 0.000)
Ce (0.322, 0.822, 0.000)
Ce (0.678, 0.178, 0.000)
Ce (0.822, 0.678, 0.000)
Y (0.000, 0.000, 0.500)
Y (0.500, 0.500, 0.500)
Si (0.116, 0.616, 0.500)
Si (0.384, 0.116, 0.500)
Si (0.616, 0.884, 0.500)
Si (0.884, 0.384, 0.500)

Values from the calculation:
Total DFT energy (no corrections) = -6.910 eV/atom

---

Entry from the Alexandria database: a relaxed structure of La2OsBr (PBEsol).

Lattice parameters (Å, degrees): 3.430 3.430 8.293 90.00 90.00 90.00
Positions (direct):
La (0.000, 0.000, 0.214)
La (0.000, 0.000, 0.786)
Os (0.500, 0.500, 0.000)
Br (0.500, 0.500, 0.500)

Values from the calculation:
Energy above the most stable polymorph in this dataset = 0.018 eV/atom

---

Entry from the Alexandria database: a relaxed structure of TaCrHg2Pt (PBEsol).

Lattice parameters (Å, degrees): 5.239 5.239 4.813 90.00 90.00 90.00
Positions (direct):
Ta (0.000, 0.000, 0.000)
Cr (0.500, 0.500, 0.500)
Hg (0.000, 0.500, 0.000)
Hg (0.500, 0.000, 0.000)
Pt (0.000, 0.000, 0.500)

Values from the calculation:
Energy of formation = 1.296 eV per atom